1.
{"formula": "KPrHgBi", "functional": "GGA-PBE", "state": "relaxed", "cell": [[-5.3517, -0.8989, -1.6927], [-2.2053, -5.2352, 0.2074], [-4.0196, -1.2415, 3.8229]], "species": ["Pr", "K", "Bi", "Hg"], "frac_coords": [[0.7500, 0.7500, 0.7500], [0.2500, 0.2500, 0.2500], [0.0000, 0.0000, 0.0000], [0.5000, 0.5000, 0.5000]], "total_magnetization_mub_per_cell": 0.00, "formation_enthalpy_0k_ev_per_atom": -0.382, "vol_a3_per_cell": 129.9}



2.
{"formula": "KHg2BiPt", "functional": "GGA-PBE", "state": "relaxed", "cell": [[5.3681, 0.0000, 0.0000], [0.0000, 5.3681, 0.0000], [0.0000, 0.0000, 5.4919]], "species": ["K", "Bi", "Pt", "Hg", "Hg"], "frac_coords": [[0.5000, 0.5000, 0.5000], [0.0000, 0.0000, 0.5000], [0.0000, 0.0000, 0.0000], [0.0000, 0.5000, 0.0000], [0.5000, 0.0000, 0.0000]], "total_magnetization_mub_per_cell": 0.00, "formation_enthalpy_0k_ev_per_atom": -0.148, "vol_a3_per_cell": 158.3}



3.
{"formula": "K2Hg4Bi2Pt", "functional": "GGA-PBE", "state": "relaxed", "cell": [[-6.4481, -3.0657, -0.5127], [3.1064, 0.3801, 6.4378], [0.5201, 7.0664, -1.0173]], "species": ["K", "K", "Hg", "Hg", "Hg", "Hg", "Bi", "Bi", "Pt"], "frac_coords": [[0.5000, 0.7500, 0.2500], [0.5000, 0.2500, 0.7500], [0.0000, 0.7354, 0.2646], [0.4708, 0.7354, 0.7354], [0.0000, 0.2646, 0.7354], [0.5292, 0.2646, 0.2646], [0.0000, 0.7080, 0.7080], [0.0000, 0.2920, 0.2920], [0.0000, 0.0000, 0.0000]], "total_magnetization_mub_per_cell": 0.00, "formation_enthalpy_0k_ev_per_atom": -0.196, "vol_a3_per_cell": 264.7}



4.
{"formula": "K2Hg6BiPt", "functional": "GGA-PBE", "state": "relaxed", "cell": [[8.0944, 0.0000, 0.0000], [0.0000, 8.3669, 0.0000], [0.0000, 0.0000, 9.7758]], "species": ["K", "K", "K", "K", "Hg", "Hg", "Hg", "Hg", "Hg", "Hg", "Hg", "Hg", "Hg", "Hg", "Hg", "Hg", "Bi", "Bi", "Pt", "Pt"], "frac_coords": [[0.5000, 0.7520, 0.2885], [0.0000, 0.2480, 0.7885], [0.5000, 0.7520, 0.7115], [0.0000, 0.2480, 0.2115], [0.5000, 0.1897, 0.2336], [0.5000, 0.1897, 0.7664], [0.0000, 0.8103, 0.2664], [0.0000, 0.8103, 0.7336], [0.1841, 0.9963, 0.5000], [0.8159, 0.9963, 0.5000], [0.3050, 0.3826, 0.5000], [0.6950, 0.3826, 0.5000], [0.8050, 0.6174, 0.0000], [0.1950, 0.6174, 0.0000], [0.3159, 0.0037, 0.0000], [0.6841, 0.0037, 0.0000], [0.0000, 0.5770, 0.5000], [0.5000, 0.4230, 0.0000], [0.5000, 0.1068, 0.5000], [0.0000, 0.8932, 0.0000]], "total_magnetization_mub_per_cell": 0.00, "formation_enthalpy_0k_ev_per_atom": -0.164, "vol_a3_per_cell": 662.1}



5.
{"formula": "KPuHg2Bi2", "functional": "GGA-PBE", "state": "relaxed", "cell": [[-1.0511, -3.9516, -3.0583], [2.7379, -0.7183, 4.2499], [-7.5252, -1.5479, 4.5864]], "species": ["K", "Pu", "Hg", "Hg", "Bi", "Bi"], "frac_coords": [[0.0000, 0.0000, 0.0000], [0.0000, 0.0000, 0.5000], [0.6667, 0.3333, 0.6505], [0.3333, 0.6667, 0.3495], [0.6667, 0.3333, 0.2624], [0.3333, 0.6667, 0.7376]], "total_magnetization_mub_per_cell": 5.67, "formation_enthalpy_0k_ev_per_atom": -0.236, "vol_a3_per_cell": 202.0}



6.
{"formula": "KPuHgBi", "functional": "GGA-PBE", "state": "relaxed", "cell": [[-4.9176, 1.3735, -2.4021], [-4.4221, -3.4776, 0.4371], [-4.4087, 1.4326, 3.2173]], "species": ["Hg", "K", "Bi", "Pu"], "frac_coords": [[0.0000, 0.0000, 0.0000], [0.2500, 0.2500, 0.2500], [0.5000, 0.5000, 0.5000], [0.7500, 0.7500, 0.7500]], "total_magnetization_mub_per_cell": 6.00, "formation_enthalpy_0k_ev_per_atom": -0.206, "vol_a3_per_cell": 127.0}



7.
{"formula": "KRbHg2Bi", "functional": "GGA-PBE", "state": "relaxed", "cell": [[-1.0051, -3.1568, 5.1030], [-3.0192, -4.2054, -3.1962], [5.5854, -3.2962, -0.9390]], "species": ["K", "Bi", "Rb", "Hg", "Hg"], "frac_coords": [[0.0000, 0.0000, 0.5000], [0.0000, 0.0000, 0.0000], [0.5000, 0.5000, 0.5000], [0.0000, 0.5000, 0.0000], [0.5000, 0.0000, 0.0000]], "total_magnetization_mub_per_cell": 0.00, "formation_enthalpy_0k_ev_per_atom": -0.077, "vol_a3_per_cell": 242.6}



8.
{"formula": "KRb2HgBi", "functional": "GGA-PBE", "state": "relaxed", "cell": [[-4.6846, 5.2450, -1.7207], [-0.0846, -2.3247, -6.8560], [-5.2576, -4.2067, 1.4913]], "species": ["K", "Bi", "Rb", "Rb", "Hg"], "frac_coords": [[0.0000, 0.0000, 0.5000], [0.0000, 0.0000, 0.0000], [0.0000, 0.5000, 0.0000], [0.5000, 0.0000, 0.0000], [0.5000, 0.5000, 0.5000]], "total_magnetization_mub_per_cell": 0.00, "formation_enthalpy_0k_ev_per_atom": -0.172, "vol_a3_per_cell": 361.5}



Repeat the eighth record exactly.
{"formula": "KRb2HgBi", "functional": "GGA-PBE", "state": "relaxed", "cell": [[-4.6846, 5.2450, -1.7207], [-0.0846, -2.3247, -6.8560], [-5.2576, -4.2067, 1.4913]], "species": ["K", "Bi", "Rb", "Rb", "Hg"], "frac_coords": [[0.0000, 0.0000, 0.5000], [0.0000, 0.0000, 0.0000], [0.0000, 0.5000, 0.0000], [0.5000, 0.0000, 0.0000], [0.5000, 0.5000, 0.5000]], "total_magnetization_mub_per_cell": 0.00, "formation_enthalpy_0k_ev_per_atom": -0.172, "vol_a3_per_cell": 361.5}



What did the second record say?
{"formula": "KHg2BiPt", "functional": "GGA-PBE", "state": "relaxed", "cell": [[5.3681, 0.0000, 0.0000], [0.0000, 5.3681, 0.0000], [0.0000, 0.0000, 5.4919]], "species": ["K", "Bi", "Pt", "Hg", "Hg"], "frac_coords": [[0.5000, 0.5000, 0.5000], [0.0000, 0.0000, 0.5000], [0.0000, 0.0000, 0.0000], [0.0000, 0.5000, 0.0000], [0.5000, 0.0000, 0.0000]], "total_magnetization_mub_per_cell": 0.00, "formation_enthalpy_0k_ev_per_atom": -0.148, "vol_a3_per_cell": 158.3}



Please write out number 8 again, unchanged.
{"formula": "KRb2HgBi", "functional": "GGA-PBE", "state": "relaxed", "cell": [[-4.6846, 5.2450, -1.7207], [-0.0846, -2.3247, -6.8560], [-5.2576, -4.2067, 1.4913]], "species": ["K", "Bi", "Rb", "Rb", "Hg"], "frac_coords": [[0.0000, 0.0000, 0.5000], [0.0000, 0.0000, 0.0000], [0.0000, 0.5000, 0.0000], [0.5000, 0.0000, 0.0000], [0.5000, 0.5000, 0.5000]], "total_magnetization_mub_per_cell": 0.00, "formation_enthalpy_0k_ev_per_atom": -0.172, "vol_a3_per_cell": 361.5}